# 1
Material: MnHgO2
Method: DFT, GGA+U
State: relaxed

Cell lengths 5.2846, 5.2846, 5.6081 Å; angles 107.05, 107.05, 100.52 degrees
Positions (direct):
Mn (0.0090, 0.9910, 0.7500)
Mn (0.9910, 0.0090, 0.2500)
Hg (0.4032, 0.5968, 0.2500)
Hg (0.5968, 0.4032, 0.7500)
O (0.1035, 0.7951, 0.9824)
O (0.2049, 0.8965, 0.5176)
O (0.7951, 0.1035, 0.4824)
O (0.8965, 0.2049, 0.0176)

Computed properties:
Space group = No. 15
Calculated total energy = -41.77 eV per cell
Mass density = 6.978 g/cm3



# 2
Material: MnHgO2
Method: DFT, GGA+U
State: relaxed

Cell lengths 6.2840, 6.2840, 6.2840 Å; angles 32.76, 32.76, 32.76 degrees
Positions (direct):
Mn (0.0000, 0.0000, 0.0000)
Hg (0.5063, 0.5063, 0.5063)
O (0.1146, 0.1146, 0.1146)
O (0.6351, 0.6351, 0.6351)

Computed properties:
Space group = No. 160
Calculated total energy = -21.19 eV per cell
Mass density = 7.388 g/cm3



# 3
Material: MnHgO2
Method: DFT, GGA+U
State: relaxed

Cell lengths 3.3578, 3.3578, 4.7845 Å; angles 90.00, 90.00, 90.00 degrees
Positions (direct):
Mn (0.0000, 0.0000, 0.0000)
Hg (0.5000, 0.5000, 0.5000)
O (0.0000, 0.0000, 0.5000)
O (0.5000, 0.5000, 0.0000)

Computed properties:
Space group = No. 123
Calculated total energy = -20.84 eV per cell
Mass density = 8.851 g/cm3



# 4
Material: MnHg2O
Method: DFT, GGA+U
State: relaxed

Cell lengths 8.0275, 8.0275, 8.0275 Å; angles 93.10, 93.10, 153.09 degrees
Positions (direct):
Mn (0.0000, 0.0000, 0.0000)
Mn (0.7500, 0.2500, 0.5000)
Hg (0.2484, 0.1250, 0.6234)
Hg (0.3750, 0.7516, 0.8766)
Hg (0.5016, 0.6250, 0.3766)
Hg (0.8750, 0.4984, 0.1234)
O (0.2500, 0.7500, 0.5000)
O (0.5000, 0.5000, 0.0000)

Computed properties:
Space group = No. 122
Calculated total energy = -29.27 eV per cell
Mass density = 6.886 g/cm3



# 5
Material: MnHg3O
Method: DFT, GGA+U
State: relaxed

Cell lengths 4.8648, 4.8648, 4.8648 Å; angles 90.00, 90.00, 90.00 degrees
Positions (direct):
Mn (0.0000, 0.0000, 0.0000)
Hg (0.0000, 0.5000, 0.5000)
Hg (0.5000, 0.0000, 0.5000)
Hg (0.5000, 0.5000, 0.0000)
O (0.5000, 0.5000, 0.5000)

Computed properties:
Space group = No. 221
Energy above the lowest structure with this stoichiometry = 0.000 eV/atom
Calculated total energy = -11.18 eV per cell
Mass density = 9.702 g/cm3



# 6
Material: MnHgO2
Method: DFT, GGA+U
State: relaxed

Cell lengths 5.9388, 5.9388, 5.9388 Å; angles 133.81, 133.81, 67.38 degrees
Positions (direct):
Mn (0.3750, 0.6250, 0.7500)
Mn (0.6250, 0.3750, 0.2500)
Hg (0.1250, 0.8750, 0.2500)
Hg (0.8750, 0.1250, 0.7500)
O (0.1555, 0.4055, 0.7500)
O (0.4055, 0.1555, 0.2500)
O (0.5945, 0.8445, 0.7500)
O (0.8445, 0.5945, 0.2500)

Computed properties:
Space group = No. 141
Calculated total energy = -42.23 eV per cell
Mass density = 8.903 g/cm3



# 7
Material: MnHgO2
Method: DFT, GGA+U
State: relaxed

Cell lengths 5.9468, 5.5270, 10.3878 Å; angles 90.00, 91.04, 90.00 degrees
Positions (direct):
Mn (0.0089, 0.0441, 0.3603)
Mn (0.0089, 0.4559, 0.8603)
Mn (0.9911, 0.5441, 0.1397)
Mn (0.9911, 0.9559, 0.6397)
Hg (0.3012, 0.5194, 0.5506)
Hg (0.3012, 0.9806, 0.0506)
Hg (0.6988, 0.0194, 0.9494)
Hg (0.6988, 0.4806, 0.4494)
O (0.0137, 0.2199, 0.5215)
O (0.0137, 0.2801, 0.0215)
O (0.0899, 0.6607, 0.7220)
O (0.0899, 0.8393, 0.2220)
O (0.9101, 0.1607, 0.7780)
O (0.9101, 0.3393, 0.2780)
O (0.9863, 0.7199, 0.9785)
O (0.9863, 0.7801, 0.4785)

Computed properties:
Space group = No. 14
Calculated total energy = -85.37 eV per cell
Mass density = 5.595 g/cm3



# 8
Material: MnHgO2
Method: DFT, GGA+U
State: relaxed

Cell lengths 6.1419, 6.1419, 6.1419 Å; angles 130.92, 130.92, 71.94 degrees
Positions (direct):
Mn (0.0000, 0.0000, 0.0000)
Mn (0.7500, 0.2500, 0.5000)
Hg (0.2500, 0.7500, 0.5000)
Hg (0.5000, 0.5000, 0.0000)
O (0.0830, 0.6250, 0.9580)
O (0.3750, 0.3330, 0.4580)
O (0.6670, 0.1250, 0.0420)
O (0.8750, 0.9170, 0.5420)

Computed properties:
Space group = No. 122
Calculated total energy = -42.58 eV per cell
Mass density = 7.380 g/cm3



# 9
Material: Mn5Hg3O12
Method: DFT, GGA+U
State: relaxed

Cell lengths 11.0806, 11.0806, 11.0806 Å; angles 109.47, 109.47, 109.47 degrees
Positions (direct):
Mn (0.0000, 0.0000, 0.0000)
Mn (0.0000, 0.0000, 0.5000)
Mn (0.0000, 0.5000, 0.0000)
Mn (0.0000, 0.5000, 0.5000)
Mn (0.1250, 0.7500, 0.8750)
Mn (0.1250, 0.8750, 0.2500)
Mn (0.2500, 0.1250, 0.8750)
Mn (0.2500, 0.6250, 0.3750)
Mn (0.3750, 0.2500, 0.6250)
Mn (0.3750, 0.6250, 0.7500)
Mn (0.5000, 0.0000, 0.0000)
Mn (0.5000, 0.0000, 0.5000)
Mn (0.5000, 0.5000, 0.0000)
Mn (0.5000, 0.5000, 0.5000)
Mn (0.6250, 0.3750, 0.2500)
Mn (0.6250, 0.7500, 0.3750)
Mn (0.7500, 0.3750, 0.6250)
Mn (0.7500, 0.8750, 0.1250)
Mn (0.8750, 0.1250, 0.7500)
Mn (0.8750, 0.2500, 0.1250)
Hg (0.1250, 0.2500, 0.3750)
Hg (0.1250, 0.3750, 0.7500)
Hg (0.2500, 0.3750, 0.1250)
Hg (0.2500, 0.8750, 0.6250)
Hg (0.3750, 0.1250, 0.2500)
Hg (0.3750, 0.7500, 0.1250)
Hg (0.6250, 0.2500, 0.8750)
Hg (0.6250, 0.8750, 0.7500)
Hg (0.7500, 0.1250, 0.3750)
Hg (0.7500, 0.6250, 0.8750)
Hg (0.8750, 0.6250, 0.2500)
Hg (0.8750, 0.7500, 0.6250)
O (0.0105, 0.1830, 0.1253)
O (0.0105, 0.3275, 0.8852)
O (0.0578, 0.6831, 0.6725)
O (0.0578, 0.8747, 0.3852)
O (0.1148, 0.6253, 0.4422)
O (0.1148, 0.9895, 0.6725)
O (0.1253, 0.0105, 0.1830)
O (0.1253, 0.6148, 0.9422)
O (0.1725, 0.1830, 0.5578)
O (0.1725, 0.4895, 0.6148)
O (0.1830, 0.1253, 0.0105)
O (0.1830, 0.5578, 0.1725)
O (0.3170, 0.3275, 0.9422)
O (0.3170, 0.4895, 0.3747)
O (0.3275, 0.8852, 0.0105)
O (0.3275, 0.9422, 0.3170)
O (0.3747, 0.3170, 0.4895)
O (0.3747, 0.5578, 0.8852)
O (0.3852, 0.0578, 0.8747)
O (0.3852, 0.8275, 0.5105)
O (0.4422, 0.1148, 0.6253)
O (0.4422, 0.8275, 0.8169)
O (0.4895, 0.3747, 0.3170)
O (0.4895, 0.6148, 0.1725)
O (0.5105, 0.3852, 0.8275)
O (0.5105, 0.6253, 0.6831)
O (0.5578, 0.1725, 0.1830)
O (0.5578, 0.8852, 0.3747)
O (0.6148, 0.1725, 0.4895)
O (0.6148, 0.9422, 0.1253)
O (0.6253, 0.4422, 0.1148)
O (0.6253, 0.6831, 0.5105)
O (0.6725, 0.0578, 0.6831)
O (0.6725, 0.1148, 0.9895)
O (0.6831, 0.5105, 0.6253)
O (0.6831, 0.6725, 0.0578)
O (0.8169, 0.4422, 0.8275)
O (0.8169, 0.8747, 0.9895)
O (0.8275, 0.5105, 0.3852)
O (0.8275, 0.8169, 0.4422)
O (0.8747, 0.3852, 0.0578)
O (0.8747, 0.9895, 0.8169)
O (0.8852, 0.0105, 0.3275)
O (0.8852, 0.3747, 0.5578)
O (0.9422, 0.1253, 0.6148)
O (0.9422, 0.3170, 0.3275)
O (0.9895, 0.6725, 0.1148)
O (0.9895, 0.8169, 0.8747)

Computed properties:
Space group = No. 230
Calculated total energy = -463.90 eV per cell
Mass density = 6.776 g/cm3



# 10
Material: MnHgO2
Method: DFT, GGA+U
State: relaxed

Cell lengths 3.5578, 3.5578, 5.5595 Å; angles 90.00, 90.00, 120.00 degrees
Positions (direct):
Mn (0.0000, 0.0000, 0.0000)
Hg (0.6667, 0.3333, 0.5424)
O (0.0000, 0.0000, 0.3704)
O (0.3333, 0.6667, 0.8964)

Computed properties:
Space group = No. 156
Calculated total energy = -20.93 eV per cell
Mass density = 7.834 g/cm3



# 11
Material: MnHgO2
Method: DFT, GGA+U
State: relaxed

Cell lengths 6.1990, 7.2396, 5.7745 Å; angles 90.00, 90.00, 90.00 degrees
Positions (direct):
Mn (0.0805, 0.1261, 0.0000)
Mn (0.4195, 0.6261, 0.5000)
Mn (0.5805, 0.3739, 0.0000)
Mn (0.9195, 0.8739, 0.5000)
Hg (0.0834, 0.6246, 0.0024)
Hg (0.4166, 0.1246, 0.5024)
Hg (0.5834, 0.8754, 0.0024)
Hg (0.9166, 0.3754, 0.5024)
O (0.0635, 0.1053, 0.6413)
O (0.0980, 0.6441, 0.5960)
O (0.4020, 0.1441, 0.0960)
O (0.4365, 0.6053, 0.1413)
O (0.5635, 0.3947, 0.6413)
O (0.5980, 0.8559, 0.5960)
O (0.9020, 0.3559, 0.0960)
O (0.9365, 0.8947, 0.1413)

Computed properties:
Space group = No. 33
Calculated total energy = -85.26 eV per cell
Mass density = 7.369 g/cm3



# 12
Material: MnHg3O4
Method: DFT, GGA+U
State: relaxed

Cell lengths 6.1023, 6.1023, 6.1023 Å; angles 121.80, 117.00, 91.09 degrees
Positions (direct):
Mn (0.0000, 0.0000, 0.0000)
Hg (0.1884, 0.3997, 0.7887)
Hg (0.2421, 0.7421, 0.5000)
Hg (0.6110, 0.3997, 0.2113)
O (0.3247, 0.1148, 0.2098)
O (0.8918, 0.1353, 0.2435)
O (0.8918, 0.6484, 0.7565)
O (0.9050, 0.1148, 0.7902)

Computed properties:
Space group = No. 44
Calculated total energy = -31.19 eV per cell
Mass density = 7.398 g/cm3